VASP calculation (PBE with a Hubbard U) on Na2UFeO6 after structural relaxation.

For the magnetization, the calculation gives 2.05 μB/f.u. As for the total energy: -69.69 eV/cell.

The structure belongs to space group P-1 (No. 2); the cell edges are 5.551, 5.569 and 5.570 Å and the angles 60.21°, 60.30° and 60.12°. The inequivalent atoms are Na at (0.249, 0.250, 0.250), U at (0.500, 0.500, 0.500), Fe at (0.000, 0.000, 0.000), O at (0.179, 0.307, 0.756), O at (0.237, 0.827, 0.239) and O at (0.307, 0.757, 0.757).

***

VASP calculation (PBE with a Hubbard U) on NaUFe2O6 after structural relaxation.

For the magnetization, the calculation gives 1.00 μB/f.u. As for the total energy: -75.13 eV/cell.

The structure belongs to space group P1 (No. 1); the cell edges are 5.448, 5.457 and 5.783 Å and the angles 116.63°, 91.30° and 119.59°. The inequivalent atoms are Na at (0.000, 0.000, 0.000), U at (0.481, 0.959, 0.440), Fe at (0.279, 0.546, 0.827), Fe at (0.790, 0.577, 0.370), O at (0.070, 0.724, 0.170), O at (0.191, 0.743, 0.632), O at (0.444, 0.517, 0.161), O at (0.563, 0.436, 0.625), O at (0.658, 0.103, 0.172) and O at (0.882, 0.059, 0.627).

***

VASP calculation (PBE with a Hubbard U) on NaUFeO6 after structural relaxation.

For the magnetization, the calculation gives 2.98 μB/f.u. As for the total energy: -129.85 eV/cell.

The structure belongs to space group P4_2nm (No. 102); the cell edges are 4.962, 4.962 and 9.563 Å and the angles 90.00°, 90.00° and 90.00°. The inequivalent atoms are Na at (0.000, 0.000, 0.000), U at (0.000, 0.000, 0.336), Fe at (0.000, 0.000, 0.672), O at (0.173, 0.173, 0.512), O at (0.201, 0.201, 0.810) and O at (0.211, 0.211, 0.193).

***

VASP calculation (PBE with a Hubbard U) on NaFe2WO6 after structural relaxation.

For the magnetization, the calculation gives 9.02 μB/f.u. As for the total energy: -66.95 eV/cell.

The structure belongs to space group P1 (No. 1); the cell edges are 5.291, 5.292 and 5.768 Å and the angles 91.14°, 115.89° and 119.71°. The inequivalent atoms are Na at (0.000, 0.000, 0.000), Fe at (0.425, 0.210, 0.637), Fe at (0.440, 0.716, 0.156), W at (0.034, 0.513, 0.552), O at (0.226, 0.777, 0.364), O at (0.259, 0.910, 0.816), O at (0.468, 0.556, 0.824), O at (0.589, 0.431, 0.366), O at (0.898, 0.340, 0.812) and O at (0.944, 0.146, 0.367).

***

> Which of these has the highest magnetization?

NaFe2WO6